The following is a PBE calculation of a relaxed Pr2InGa3 crystal, from Alexandria via LeMat-Bulk.

As for the formation energy: -602 meV/atom. For the density of states at the Fermi level, the calculation gives 3.03 states/eV/f.u. As for the final energy: -4.165 eV per atom.

abc: 8.8556 8.8259 6.2019
angles: 69.72 69.21 41.07
Closest atoms and distances in Å follow each position.
Atoms (fractional coordinates):
Pr 0.2484 0.7516 0.7516  10 Ga 3.29-3.39, 2 In 3.37
Pr 0.2500 0.2500 0.2500  4 In 3.36, 8 Ga 3.38-3.39
Pr 0.7500 0.7500 0.7500  4 In 3.36, 8 Ga 3.38-3.39
Pr 0.7516 0.2484 0.2484  10 Ga 3.29-3.39, 2 In 3.37
In 0.3334 0.3334 0.6666  3 Ga 2.63
In 0.6666 0.6666 0.3334  3 Ga 2.63
Ga 0.1618 0.1618 0.8382  2 Ga 2.48, 1 In 2.63
Ga 0.1621 0.6766 0.3234  2 Ga 2.48, 1 In 2.63
Ga 0.3234 0.8379 0.1621  2 Ga 2.48, 1 In 2.63
Ga 0.6766 0.1621 0.8379  2 Ga 2.48, 1 In 2.63
Ga 0.8379 0.3234 0.6766  2 Ga 2.48, 1 In 2.63
Ga 0.8382 0.8382 0.1618  2 Ga 2.48, 1 In 2.63